Entry 1:
# K2NiAs

An optimized crystal structure of K2NiAs (GGA-PBE, Alexandria via LeMat-Bulk).

Structure (POSCAR):
```
K2NiAs
1.0
5.131 0.000 0.000
2.566 4.444 0.000
2.566 1.481 4.190
As K Ni
1 2 1
Direct
0.500 0.500 0.500
0.000 0.000 0.000
0.250 0.250 0.250
0.750 0.750 0.750
```

As for the crystal system: cubic. As for the space-group type: F-43m. The volume comes out at 23.88 A^3/atom. The formation energy comes out at 0.297 eV per atom. The total magnetization comes out at 0.251 μB per atom.

Entry 2:
# Ta3TiFe

An optimized crystal structure of Ta3TiFe (GGA-PBE, Alexandria via LeMat-Bulk).

Structure (POSCAR):
```
Ta3TiFe
1.0
-1.006 1.453 4.230
1.142 -4.108 1.683
4.324 1.423 0.540
Fe Ta Ti
1 3 1
Direct
0.000 0.000 0.000
0.500 0.000 0.000
0.000 0.000 0.500
0.000 0.500 0.000
0.500 0.500 0.500
```

As for the crystal system: cubic. As for the space-group type: Pm-3m. The volume comes out at 19.26 A^3/atom. The formation energy comes out at 0.707 eV per atom. The offset from the most stable computed form comes out at 0.000 eV per formula unit. The total magnetization comes out at 0.000 μB per atom.

Entry 3:
# Ta2FeRh2

An optimized crystal structure of Ta2FeRh2 (GGA-PBE, Alexandria via LeMat-Bulk).

Structure (POSCAR):
```
Ta2FeRh2
1.0
4.169 -0.011 -0.008
2.081 4.525 -0.062
2.081 1.566 4.246
Ta Rh Fe
2 2 1
Direct
0.805 0.696 0.696
0.195 0.304 0.304
0.500 0.741 0.259
0.500 0.259 0.741
0.000 0.000 0.000
```

As for the crystal system: monoclinic. As for the space-group type: C2/m. The volume comes out at 16.13 A^3/atom. The formation energy comes out at -0.120 eV per atom. The total magnetization comes out at 0.457 μB per atom.

Entry 4:
# CsZn3Ga

An optimized crystal structure of CsZn3Ga (GGA-PBE, Alexandria via LeMat-Bulk).

Structure (POSCAR):
```
CsZn3Ga
1.0
6.508 0.000 0.000
0.000 6.508 0.000
0.000 0.000 6.508
Zn Cs Ga
3 1 1
Direct
0.500 0.000 0.000
0.000 0.500 0.000
0.000 0.000 0.500
0.000 0.000 0.000
0.500 0.500 0.500
```

As for the crystal system: cubic. As for the space-group type: Pm-3m. The volume comes out at 55.13 A^3/atom. The formation energy comes out at 1.004 eV per atom. The offset from the most stable computed form comes out at 4.077 eV per formula unit. The total magnetization comes out at 0.000 μB per atom.

Entry 5:
# K2TiSb2O6

An optimized crystal structure of K2TiSb2O6 (GGA-PBE, Alexandria via LeMat-Bulk).

Structure (POSCAR):
```
K2TiSb2O6
1.0
-4.609 -4.302 -2.270
5.520 -1.390 1.316
-2.917 0.387 5.190
K O Sb Ti
2 6 2 1
Direct
0.312 0.625 0.897
0.688 0.375 0.103
0.699 0.990 0.732
0.301 0.010 0.268
0.730 0.460 0.645
0.291 0.990 0.732
0.709 0.010 0.268
0.270 0.540 0.355
0.057 0.113 0.279
0.943 0.887 0.721
0.500 0.000 0.500
```

As for the crystal system: monoclinic. The calculation puts the uncorrected formation energy at -1691.0 meV/atom. As for the space-group type: C2/m. The volume comes out at 16.34 A^3/atom. The total magnetization comes out at 0.000 μB per atom.

Entry 6:
# LaRuCl

An optimized crystal structure of LaRuCl (GGA-PBE, Alexandria via LeMat-Bulk).

Structure (POSCAR):
```
LaRuCl
1.0
-2.642 -1.695 -3.022
4.122 0.982 -1.014
1.045 -3.375 0.979
La Ru Cl
1 1 1
Direct
0.667 0.333 0.341
0.333 0.667 0.807
0.000 0.000 0.851
```

As for the crystal system: trigonal. The calculation puts the uncorrected formation energy at -501.8 meV/atom. As for the space-group type: P3m1. The volume comes out at 20.09 A^3/atom. The offset from the most stable computed form comes out at 1.968 eV per formula unit. The total magnetization comes out at 0.000 μB per atom.